The following is a DFT calculation (meta-GGA SCAN) of ScRe2HgAs at its PBEsol-relaxed geometry.

Structure (POSCAR):
```
ScRe2HgAs
1.0
4.9405 0.0000 0.0000
0.0000 4.9405 0.0000
0.0000 0.0000 4.8295
Sc Re Hg As
1 2 1 1
direct
0.0000 0.0000 0.0000 Sc
0.0000 0.5000 0.5000 Re
0.5000 0.0000 0.5000 Re
0.5000 0.5000 0.5000 Hg
0.5000 0.5000 0.0000 As
```

* DFT total energy: -46.7589 eV per atom
* energy relative to the elements: 2.1989 eV/atom
* mass density: 9.760 Mg/m³